Density functional theory data (meta-GGA SCAN) for a crystal of Li3V4O11F relaxed with PBEsol.

a b c (Å): 4.9946 5.0063 8.1994
angles (deg): 91.62 96.13 102.96
Last column: nearest neighbours and their distance in Å.
Atoms (fractional coordinates):
O  0.4661  0.4951  0.9880  1 V 1.71
O  0.2441  0.2483  0.2504  2 V 1.79-1.84
O  0.0983  0.5168  0.6240  2 V 1.84-1.85, 1 Li 1.94
O  0.4823  0.7120  0.4315  2 V 1.74-1.91
O  0.9463  0.2098  0.9357  2 V 1.82-1.88
O  0.7495  0.7302  0.7555  1 V 1.72
O  0.0019  0.7775  0.0650  1 V 1.66
O  0.5865  0.0064  0.1470  1 V 1.70, 1 Li 1.87
O  0.3817  0.9900  0.8710  1 V 1.79, 2 Li 1.92-1.97
O  0.9825  0.9977  0.5034  1 V 1.65
O  0.5094  0.2714  0.5586  1 V 1.68
V  0.2826  0.1811  0.0333  4 O 1.71-1.84
V  0.2604  0.3961  0.4533  4 O 1.68-1.84
V  0.8216  0.6937  0.5560  2 O 1.65-1.72
V  0.7196  0.8766  0.9888  2 O 1.66-1.70
Li  0.6402  0.0943  0.3731  4 O 1.87-2.08, 1 F 2.00
Li  0.1367  0.6206  0.8572  4 O 1.94-2.09
Li  0.6156  0.3045  0.7893  4 O 1.90-2.12
F  0.8749  0.4702  0.3558  1 Li 2.00, 2 V 2.04-2.12

## Properties
Total magnetization   0.00 μB/atom
Energy relative to the elements, uncorrected   -2.499 eV per atom
Total energy   -10.3521 eV/atom
DOS at the Fermi energy   0.000 states/eV/cell